(1)
Below is a relaxed structure of Cr3In, with properties calculated at the PBE-GGA level.

Cell lengths 2.8998, 2.8998, 24.6708 Å; angles 90.00, 90.00, 120.00 degrees
Space group R-3m (No. 166, hexagonal axes)
Asymmetric unit:
Cr 0.0000 0.0000 0.0000 [3 per cell]
Cr 0.0000 0.0000 0.2628 [6 per cell]
In 0.0000 0.0000 0.5000 [3 per cell]

Computed properties:
**Uncorrected energy**: -7.398 eV/atom
**D(E_F)**: 0.899 states/eV per atom
**Magnetic moment**: 2.09 μB/f.u.
**Energy of formation from the pure elements**: 0.50 eV/atom

***

(2)
Below is a relaxed structure of CrIn2, with properties calculated at the PBE-GGA level.

Cell lengths 3.3318, 3.3318, 6.9553 Å; angles 90.00, 90.00, 120.00 degrees
Space group P-3m1 (No. 164)
Asymmetric unit:
Cr 0.0000 0.0000 0.0000 [1 per cell]
In 0.3333 0.6667 0.3147 [2 per cell]

Computed properties:
**Uncorrected energy**: -4.644 eV/atom
**D(E_F)**: 0.435 states/eV per atom
**Magnetic moment**: 4.01 μB/f.u.
**Energy of formation from the pure elements**: 0.39 eV/atom